PBE Li3CdAg, relaxed; total energy = -2.103 eV per atom; spin magnetization = 0.00 μB/cell; polymorph energy (0 for the lowest one) = 0.0047 eV per atom; SG = No. 12; calculated formation energy = -0.20 eV per atom
1.0
6.6884 -2.3414 0.0000
6.6884 2.3414 0.0000
-1.1575 0.0000 5.5336
Li Cd Ag
6 2 2
direct
0.0045 0.0045 0.2577
0.2039 0.2039 0.1724
0.3876 0.3876 0.5535
0.6124 0.6124 0.4465
0.7961 0.7961 0.8276
0.9955 0.9955 0.7423
0.3977 0.3977 0.0597
0.6023 0.6023 0.9403
0.1928 0.1928 0.6719
0.8072 0.8072 0.3281

---

PBE Li4Cd3Ag2, relaxed; total energy = -2.011 eV per atom; spin magnetization = 0.00 μB/cell; polymorph energy (0 for the lowest one) = 0.0000 eV per atom; SG = No. 12; calculated formation energy = -0.22 eV per atom
1.0
4.6246 -2.0571 0.0000
4.6246 2.0571 0.0000
-2.4804 0.0000 8.5050
Li Cd Ag
4 3 2
direct
0.0063 0.0063 0.3276
0.3331 0.3331 0.1089
0.6669 0.6669 0.8911
0.9937 0.9937 0.6724
0.0000 0.0000 0.0000
0.3373 0.3373 0.4392
0.6627 0.6627 0.5608
0.3257 0.3257 0.7822
0.6743 0.6743 0.2178